VASP calculation (PBE) on ZnSb2HI after structural relaxation.

a b c (Å): 4.273 4.273 8.027
angles (deg): 90.00 90.00 90.00
Element x y z (fractional)
I: 0.000 0.000 0.500
Sb: 0.000 0.500 0.000
Sb: 0.500 0.000 0.000
Zn: 0.500 0.500 0.500
H: 0.000 0.000 0.000

## Properties
- VASP energy: -12.13 eV/cell
- Energy above the lowest structure with this stoichiometry: 0.000 eV/atom
- ρ: 4.950 g/cm3
- Crystal system: tetragonal
- Fermi-level density of states: 3.88 states/eV/cell
- Symmetry: P4/mmm